# CaCdCuS2

A relaxed structure of CaCdCuS2 (PBE, Alexandria).

The value obtained for the total magnetization is 0.00 μB per formula unit. Its uncorrected energy is -15.812 eV for the cell shown. The value obtained for the volume is 112.8 Å³ per cell. The calculation puts the density of states at the Fermi level at 0.3401 states/eV/atom.

abc: 4.643 4.643 5.233
angles: 90.00 90.00 90.00
Space group P4/mmm (No. 123)
Symmetry-distinct sites (fractional):
1 Ca 0.000 0.000 0.000 x1
2 Cd 0.500 0.500 0.000 x1
3 Cu 0.000 0.000 0.500 x1
4 S 0.000 0.500 0.500 x2

# CaCd2CuSb

A relaxed structure of CaCd2CuSb (PBE, Alexandria).

The value obtained for the total magnetization is 0.00 μB per formula unit. Its uncorrected energy is -12.272 eV for the cell shown. The value obtained for the volume is 133.1 Å³ per cell. The calculation puts the density of states at the Fermi level at 0.3207 states/eV/atom.

abc: 4.949 4.949 5.433
angles: 90.00 90.00 90.00
Space group P4/mmm (No. 123)
Symmetry-distinct sites (fractional):
1 Ca 0.000 0.000 0.000 x1
2 Cd 0.000 0.500 0.500 x2
3 Cu 0.000 0.000 0.500 x1
4 Sb 0.500 0.500 0.000 x1

# CaScCdCu

A relaxed structure of CaScCdCu (PBE, Alexandria).

The value obtained for the total magnetization is 0.00 μB per formula unit. Its uncorrected energy is -55.435 eV for the cell shown. The value obtained for the volume is 357.2 Å³ per cell. The calculation puts the density of states at the Fermi level at 0.7633 states/eV/atom.

abc: 7.096 7.096 7.096
angles: 90.00 90.00 90.00
Space group F-43m (No. 216)
Symmetry-distinct sites (fractional):
1 Ca 0.000 0.000 0.000 x4
2 Sc 0.000 0.000 0.500 x4
3 Cd 0.250 0.250 0.750 x4
4 Cu 0.250 0.250 0.250 x4